Entry 1:
Below is crystalline Ho3Er2Hg3 at its relaxed geometry, with properties calculated at the PBE level.

Output
Its space-group type is P-6m2. For the energy relative to the elements, the calculation gives -0.14 eV/atom. The total energy is -3.105 eV/atom. For the excess energy over the best structure of this formula in the dataset, the calculation gives 37 meV/atom.

a b c (Å): 6.8524 6.8524 5.2348
angles (deg): 90.00 90.00 120.00
Fractional coordinates of all 8 atoms:
1 Er 0.3333 0.6667 0.0000
2 Er 0.0000 0.0000 0.5000
3 Hg 0.3377 0.1688 0.0000
4 Hg 0.8312 0.1688 0.0000
5 Hg 0.8312 0.6623 0.0000
6 Ho 0.5020 0.0040 0.5000
7 Ho 0.5020 0.4980 0.5000
8 Ho 0.9960 0.4980 0.5000



Entry 2:
Below is crystalline HfNb2C3 at its relaxed geometry, with properties calculated at the PBE level.

Output
Its space-group type is P-3m1. The total energy is -10.281 eV/atom.

a b c (Å): 3.2168 3.2168 7.8581
angles (deg): 90.00 90.00 120.00
Fractional coordinates of all 6 atoms:
1 C 0.3333 0.6667 0.1713
2 C 0.0000 0.0000 0.5000
3 C 0.6667 0.3333 0.8287
4 Hf 0.0000 0.0000 0.0000
5 Nb 0.6667 0.3333 0.3398
6 Nb 0.3333 0.6667 0.6602



Entry 3:
Below is crystalline Li6SmI8 at its relaxed geometry, with properties calculated at the PBE level.

Output
Its space-group type is Fm-3m. The total energy is -3.042 eV/atom.

a b c (Å): 8.5221 8.5221 8.5221
angles (deg): 60.00 60.00 60.00
Last column: magnetic moment on the atom in μB.
Fractional coordinates of all 15 atoms:
1 I 0.2500 0.2500 0.2500  0.00
2 I 0.7414 0.2586 0.2586  0.00
3 I 0.2586 0.7414 0.2586  0.00
4 I 0.7414 0.7414 0.2586  -0.01
5 I 0.2586 0.2586 0.7414  -0.01
6 I 0.7414 0.2586 0.7414  0.00
7 I 0.2586 0.7414 0.7414  0.00
8 I 0.7500 0.7500 0.7500  0.00
9 Li 0.5000 0.0000 0.0000  0.00
10 Li 0.0000 0.5000 0.0000  0.00
11 Li 0.5000 0.5000 0.0000  0.00
12 Li 0.0000 0.0000 0.5000  0.00
13 Li 0.5000 0.0000 0.5000  0.00
14 Li 0.0000 0.5000 0.5000  0.00
15 Sm 0.0000 0.0000 0.0000  0.47



Entry 4:
Below is crystalline GaPdPt2 at its relaxed geometry, with properties calculated at the PBE level.

Output
Its space-group type is F-43m. The total energy is -5.416 eV/atom.

a b c (Å): 4.4418 4.4418 4.4418
angles (deg): 60.00 60.00 60.00
Fractional coordinates of all 4 atoms:
1 Ga 0.5000 0.5000 0.5000
2 Pd 0.2500 0.2500 0.2500
3 Pt 0.0000 0.0000 0.0000
4 Pt 0.7500 0.7500 0.7500



Entry 5:
Below is crystalline ZrSeS at its relaxed geometry, with properties calculated at the PBE level.

Output
Its space-group type is P3m1. The total energy is -6.816 eV/atom. For the excess energy over the best structure of this formula in the dataset, the calculation gives 0 meV/atom.

a b c (Å): 3.7418 3.7418 6.6322
angles (deg): 90.00 90.00 120.00
Fractional coordinates of all 3 atoms:
1 S 0.0000 0.0000 0.1102
2 Se 0.3333 0.6667 0.5691
3 Zr 0.6667 0.3333 0.3207



Entry 6:
Below is crystalline Tm3Co2Ge3 at its relaxed geometry, with properties calculated at the PBE level.

Output
Its space-group type is Cmcm. The total energy is -5.923 eV/atom.

a b c (Å): 5.5322 5.5322 13.8430
angles (deg): 90.00 90.00 136.03
Fractional coordinates of all 16 atoms:
1 Co 0.2940 0.7060 0.0983
2 Co 0.2940 0.7060 0.4017
3 Co 0.7060 0.2940 0.5983
4 Co 0.7060 0.2940 0.9017
5 Ge 0.8715 0.1285 0.0390
6 Ge 0.1605 0.8395 0.2500
7 Ge 0.8715 0.1285 0.4610
8 Ge 0.1285 0.8715 0.5390
9 Ge 0.8395 0.1605 0.7500
10 Ge 0.1285 0.8715 0.9610
11 Tm 0.5818 0.4182 0.1094
12 Tm 0.8591 0.1409 0.2500
13 Tm 0.5818 0.4182 0.3906
14 Tm 0.4182 0.5818 0.6094
15 Tm 0.1409 0.8591 0.7500
16 Tm 0.4182 0.5818 0.8906



Entry 7:
Below is crystalline Zr2Nb4P3N3 at its relaxed geometry, with properties calculated at the PBE level.

Output
Its space-group type is C2/c. The total energy is -9.289 eV/atom.

a b c (Å): 5.7598 5.7598 12.1910
angles (deg): 103.57 103.57 60.20
Fractional coordinates of all 24 atoms:
1 N 0.5000 0.0000 0.0000
2 N 0.1809 0.6604 0.0003
3 N 0.3396 0.8191 0.4997
4 N 0.0000 0.5000 0.5000
5 N 0.6604 0.1809 0.5003
6 N 0.8191 0.3396 0.9997
7 Nb 0.8747 0.6976 0.0950
8 Nb 0.1895 0.0420 0.0954
9 Nb 0.9580 0.8105 0.4046
10 Nb 0.3024 0.1253 0.4050
11 Nb 0.6976 0.8747 0.5950
12 Nb 0.0420 0.1895 0.5954
13 Nb 0.8105 0.9580 0.9046
14 Nb 0.1253 0.3024 0.9050
15 P 0.5815 0.7697 0.2495
16 P 0.9347 0.0653 0.2500
17 P 0.2303 0.4185 0.2505
18 P 0.7697 0.5815 0.7495
19 P 0.0653 0.9347 0.7500
20 P 0.4185 0.2303 0.7505
21 Zr 0.5344 0.3634 0.1046
22 Zr 0.6366 0.4656 0.3954
23 Zr 0.3634 0.5344 0.6046
24 Zr 0.4656 0.6366 0.8954



Entry 8:
Below is crystalline KTbHfTe3 at its relaxed geometry, with properties calculated at the PBE level.

Output
Its space-group type is Cmcm. The total energy is -5.157 eV/atom. For the excess energy over the best structure of this formula in the dataset, the calculation gives 27 meV/atom.

a b c (Å): 8.4538 8.4538 11.5047
angles (deg): 90.00 90.00 149.33
Last column: magnetic moment on the atom in μB.
Fractional coordinates of all 12 atoms:
1 Hf 0.0295 0.9705 0.2500  0.16
2 Hf 0.9705 0.0295 0.7500  0.16
3 K 0.7480 0.2520 0.2500  0.00
4 K 0.2520 0.7480 0.7500  0.00
5 Tb 0.5000 0.5000 0.0000  0.07
6 Tb 0.5000 0.5000 0.5000  0.07
7 Te 0.1295 0.8705 0.0547  0.00
8 Te 0.4232 0.5768 0.2500  0.00
9 Te 0.1295 0.8705 0.4453  0.00
10 Te 0.8705 0.1295 0.5547  0.00
11 Te 0.5768 0.4232 0.7500  0.00
12 Te 0.8705 0.1295 0.9453  0.00



Entry 9:
Below is crystalline GdErZn2Au4 at its relaxed geometry, with properties calculated at the PBE level.

Output
Its space-group type is P4/mmm. For the energy relative to the elements, the calculation gives -0.64 eV/atom. The total energy is -3.740 eV/atom.

a b c (Å): 4.8335 4.8335 6.8309
angles (deg): 90.00 90.00 90.00
Fractional coordinates of all 8 atoms:
1 Au 0.5000 0.0000 0.2556
2 Au 0.0000 0.5000 0.2556
3 Au 0.5000 0.0000 0.7444
4 Au 0.0000 0.5000 0.7444
5 Er 0.0000 0.0000 0.5000
6 Gd 0.5000 0.5000 0.0000
7 Zn 0.0000 0.0000 0.0000
8 Zn 0.5000 0.5000 0.5000



Entry 10:
Below is crystalline CsLuRe at its relaxed geometry, with properties calculated at the PBE level.

Output
Its space-group type is F-43m. The total energy is -3.488 eV/atom. For the excess energy over the best structure of this formula in the dataset, the calculation gives 416 meV/atom.

a b c (Å): 4.9268 4.9268 4.9268
angles (deg): 60.00 60.00 60.00
Fractional coordinates of all 3 atoms:
1 Cs 0.0000 0.0000 0.0000
2 Lu 0.2500 0.2500 0.2500
3 Re 0.7500 0.7500 0.7500



Entry 11:
Below is crystalline LiMgIr2 at its relaxed geometry, with properties calculated at the PBE level.

Output
Its space-group type is Imm2. The total energy is -5.538 eV/atom.

a b c (Å): 5.1156 5.1156 5.1156
angles (deg): 148.11 64.92 125.09
Fractional coordinates of all 4 atoms:
1 Ir 0.2392 0.9876 0.2515
2 Ir 0.7361 0.9876 0.7485
3 Li 0.3417 0.3417 0.0000
4 Mg 0.8497 0.3497 0.5000



Entry 12:
Below is crystalline LuBeCuAs at its relaxed geometry, with properties calculated at the PBE level.

Output
Its space-group type is F-43m. The total energy is -4.143 eV/atom. For the excess energy over the best structure of this formula in the dataset, the calculation gives 0 meV/atom.

a b c (Å): 4.5171 4.5171 4.5171
angles (deg): 60.00 60.00 60.00
Fractional coordinates of all 4 atoms:
1 As 0.0000 0.0000 0.0000
2 Be 0.5000 0.5000 0.5000
3 Cu 0.7500 0.7500 0.7500
4 Lu 0.2500 0.2500 0.2500